[1]
8
Lattice="3.9029 0.0000 1.1521 1.7814 3.4726 1.1521 -0.4364 -0.2666 8.6652" Properties=species:S:1:pos:R:3 comment="ThAl3Ni4 | Alexandria | PBE | relaxed" spacegroup="R-3m (166)" final_energy_ev_per_atom=-5.816 pbc="T T T"
Ni 4.7535 2.9040 5.4575
Ni 1.9543 1.1939 7.7534
Ni 0.4944 0.3021 5.5120
Ni 3.2937 2.0122 3.2160
Al 1.2091 0.7386 3.0910
Al 4.0388 2.4674 7.8785
Al 2.6240 1.6030 5.4847
Th 0.0000 0.0000 0.0000



[2]
12
Lattice="-5.0226 -2.1168 -1.7066 -0.5898 -3.7428 6.3783 -3.4823 5.7853 3.0728" Properties=species:S:1:pos:R:3 comment="Th4AlNi | Alexandria | PBE | relaxed" spacegroup="P4/mcc (124)" final_energy_ev_per_atom=-6.771 pbc="T T T"
Th -2.3684 3.1280 3.0903
Th -1.7038 -1.0855 6.3607
Th -0.8005 -0.3175 2.7497
Th -3.2717 2.3600 6.7014
Th -5.2680 -0.3946 6.4365
Th -3.8267 0.3204 1.3079
Th -3.4902 -2.5075 3.8249
Th -5.6046 2.4333 3.9196
Al -1.2556 -0.5292 -0.4267
Al -3.7669 -1.5876 -1.2800
Ni -3.2917 0.4921 4.2989
Ni -5.8030 -0.5663 3.4456



[3]
11
Lattice="-4.2639 1.9085 2.4611 -4.8007 -2.1778 -0.9644 -1.0335 -4.0174 6.9891" Properties=species:S:1:pos:R:3 comment="Th2Al5Ni4 | Alexandria | PBE | relaxed" spacegroup="Fmmm (69)" final_energy_ev_per_atom=-5.725 pbc="T T T"
Th -3.9714 0.5844 3.9948
Th -1.3261 -2.6933 5.4554
Al -2.1320 0.9543 1.2305
Al -2.4004 -1.0889 -0.4822
Al -4.5323 -0.1346 0.7483
Al -3.9831 -2.6205 3.6276
Al -6.1151 -1.6662 4.8581
Ni -4.2644 -2.7010 6.0348
Ni -5.8337 -1.5856 2.4509
Ni -2.6513 -1.3071 2.0844
Ni -7.4469 -2.9796 6.4013



[4]
11
Lattice="3.9534 0.0000 0.0000 0.0000 6.9598 0.0000 0.0000 -3.4799 6.0274" Properties=species:S:1:pos:R:3 comment="ThAl6Ni4 | Alexandria | PBE | relaxed" spacegroup="P-6m2 (187)" final_energy_ev_per_atom=-5.421 pbc="T T T"
Th 0.0000 0.0000 0.0000
Al 0.0000 3.4799 0.3989
Al 1.9767 1.3653 4.8065
Al 0.0000 2.0854 2.8142
Al 0.0000 4.8744 2.8142
Al 1.9767 -1.3653 4.8065
Al 1.9767 0.0000 2.4417
Ni 1.9767 3.4799 3.5232
Ni 1.9767 2.1687 1.2521
Ni 1.9767 4.7911 1.2521
Ni 0.0000 0.0000 4.0182



[5]
18
Lattice="3.9398 0.0000 0.0000 -1.9699 6.1599 0.0000 0.0000 0.0000 12.0938" Properties=species:S:1:pos:R:3 comment="ThAl5Ni3 | Alexandria | PBE | relaxed" spacegroup="Cmcm (63)" final_energy_ev_per_atom=-5.358 pbc="T T T"
Th 1.9699 4.1267 9.0704
Th 0.0000 2.0332 3.0235
Al 1.9699 3.6635 5.2845
Al 0.0000 2.4965 11.3314
Al 0.0000 0.0000 6.0469
Al 0.0000 0.0000 0.0000
Al 0.0000 5.4470 1.7939
Al 1.9699 0.7130 10.2999
Al 1.9699 0.7130 7.8408
Al 1.9699 3.6635 0.7624
Al 0.0000 2.4965 6.8093
Al 0.0000 5.4470 4.2530
Ni 0.0000 4.8333 11.5824
Ni 1.9699 4.5969 3.0235
Ni 0.0000 4.8333 6.5583
Ni 1.9699 1.3266 5.5355
Ni 0.0000 1.5630 9.0704
Ni 1.9699 1.3266 0.5114



[6]
18
Lattice="-1.4300 2.5173 -2.9332 6.9382 -2.4282 -5.4664 -7.8573 -4.7050 -0.2072" Properties=species:S:1:pos:R:3 comment="ThAl3Ni2 | Alexandria | PBE | relaxed" spacegroup="P6/mmm (191)" final_energy_ev_per_atom=-5.660 pbc="T T T"
Th -0.7150 1.2586 -1.4666
Th 2.0064 -3.1871 -3.7133
Th -2.9254 -3.9460 -1.9603
Al -1.1745 -2.3079 -4.3034
Al -4.6436 -1.0938 -1.5702
Al 2.7541 0.0445 -4.1998
Al -0.6507 -5.0504 -4.0170
Al -2.2942 -1.3737 -0.0605
Al 2.0258 -0.7090 -1.5961
Al -0.2683 -2.0827 -1.6566
Al -5.5631 -3.3312 -0.1467
Al 4.9124 -1.7192 -3.8703
Ni 3.4986 -1.5888 -5.9645
Ni 0.3934 -0.5021 -3.5180
Ni -0.0179 -3.6945 -6.0573
Ni -5.8477 -3.0271 -2.6423
Ni -2.7425 -4.1138 -5.0888
Ni -2.3312 -0.9214 -2.5496



Number 1: energy of formation -0.595 eV/atom. Number 2: energy of formation -0.237 eV/atom. Number 3: energy of formation -0.572 eV/atom. Number 4: energy of formation -0.602 eV/atom. Number 5: energy of formation -0.527 eV/atom. Number 6: energy of formation -0.625 eV/atom.